# KSn2Au4, optimized geometry, DFT PBE
# Energy above the most stable polymorph in this dataset = 0 meV per atom
# VASP energy = -3.421 eV/atom
# Formation enthalpy at 0 K = -0.248 eV/atom
# Size of the total moment = 0.00 μB/cell
data_KSn2Au4
_cell_length_a 7.667
_cell_length_b 7.667
_cell_length_c 7.667
_cell_angle_alpha 107.11
_cell_angle_beta 107.11
_cell_angle_gamma 114.31
_symmetry_space_group_name_H-M 'P 1'
_symmetry_Int_Tables_number 1
loop_
_symmetry_equiv_pos_as_xyz
'x,y,z'
loop_
_atom_site_label
_atom_site_fract_x
_atom_site_fract_y
_atom_site_fract_z
_atom_site_occupancy
Sn1 0.609 0.609 0.718 1
Sn2 0.109 0.391 0.000 1
Sn3 0.891 0.891 0.282 1
Sn4 0.391 0.109 0.000 1
Au1 0.741 0.437 0.010 1
Au2 0.427 0.731 0.990 1
Au3 0.241 0.231 0.304 1
Au4 0.927 0.937 0.696 1
Au5 0.269 0.259 0.696 1
Au6 0.563 0.573 0.304 1
Au7 0.063 0.759 0.990 1
Au8 0.769 0.073 0.010 1
K1 0.500 0.000 0.500 1
K2 0.000 0.500 0.500 1